MnCu3P4O16 (GGA+U, relaxed); crystal system = monoclinic; symmetry = Pm; density = 3239 kg/m³; spin magnetization = 3.812 μB/f.u.; DFT total energy = -6.577 eV per atom
1.0
-2.164 -0.454 -5.620
0.993 -5.195 0.037
-9.108 -2.102 3.678
O Mn P Cu
16 1 4 3
Cartesian
-3.044 -1.896 1.325
-1.973 -2.058 -1.041
-6.506 -2.589 0.772
-1.679 -4.353 -2.247
-3.935 -5.151 -3.277
-7.548 -3.246 3.169
-2.626 -4.877 0.124
0.214 -3.155 0.172
-9.415 -4.488 0.743
-8.522 -5.820 -1.481
-6.152 -5.603 -0.423
-7.196 -5.542 1.962
-4.061 -5.775 2.030
-2.825 -2.237 -3.254
-5.112 -1.644 -1.143
-7.374 -2.771 -1.483
-6.255 -1.941 2.566
-7.535 -4.772 3.287
-6.545 -1.832 -0.576
-1.685 -2.816 -2.369
-2.627 -5.660 1.469
-1.323 -2.277 0.693
-3.113 -5.380 -1.611
-7.866 -5.317 0.214